one) DFT (PBE) results for a relaxed structure of TbYAu.

```
TbYAu
1.0
-2.8431 -0.4181 2.5527
-4.9108 -2.9693 -5.9558
4.6005 -14.4244 2.7615
Y Au Tb
6 6 6
direct
0.7500 0.6558 0.0831
0.7500 0.9852 0.2942
0.7500 0.5405 0.3843
0.2500 0.4595 0.6157
0.2500 0.0148 0.7058
0.2500 0.3442 0.9169
0.2500 0.7206 0.2476
0.7500 0.7655 0.6148
0.2500 0.2345 0.3852
0.7500 0.2868 0.0685
0.2500 0.7132 0.9315
0.7500 0.2794 0.7524
0.7500 0.1616 0.5184
0.2500 0.3674 0.2118
0.2500 0.8384 0.4816
0.7500 0.6326 0.7882
0.7500 0.9797 0.9093
0.2500 0.0203 0.0907
```

Properties
The density of states at the Fermi level is 19.973 states/eV per cell. Its symmetry is No. 11.

two) DFT (PBE) results for a relaxed structure of TbYAu.

```
TbYAu
1.0
3.8417 0.0000 0.0000
0.0000 4.9182 0.0000
0.0000 -2.4591 4.2593
Au Y Tb
1 1 1
direct
0.9996 0.0000 0.0000
0.2656 0.3333 0.6667
0.7349 0.6667 0.3333
```

Properties
The density of states at the Fermi level is 1.958 states/eV per cell. Its symmetry is No. 156.

three) DFT (PBE) results for a relaxed structure of TbYAu.

```
TbYAu
1.0
4.9898 0.0000 0.0000
2.4949 4.3213 0.0000
2.4949 1.4404 4.0741
Y Tb Au
1 1 1
direct
0.0000 0.0000 0.0000
0.5000 0.5000 0.5000
0.2500 0.2500 0.2500
```

Properties
The density of states at the Fermi level is 3.923 states/eV per cell. Its symmetry is No. 216.

four) DFT (PBE) results for a relaxed structure of TbYAu.

```
TbYAu
1.0
-2.5461 -2.0614 -1.5203
2.4933 -1.5037 -2.1367
1.0299 -2.5899 6.0765
Au Y Tb
1 1 1
direct
0.6663 0.6663 0.3327
0.3113 0.3113 0.6225
0.0224 0.0224 0.0448
```

Properties
The density of states at the Fermi level is 3.121 states/eV per cell. Its symmetry is No. 107.

Relative stability in meV/atom, measured from the most stable structure: one) 0; two) 142; three) 113; four) 17

one) DFT (PBE) results for a relaxed structure of Tb2Zn3Au5.

```
Tb2Zn3Au5
1.0
4.3430 0.0000 -0.7398
0.0000 7.1743 0.0000
-0.1059 0.0000 12.4957
Au Zn Tb
10 6 4
direct
0.4026 0.3290 0.8053
0.3060 0.5993 0.6119
0.7250 0.5401 0.4499
0.6940 0.0993 0.3881
0.2750 0.0401 0.5501
0.5974 0.8290 0.1947
0.1168 0.1901 0.2335
0.0546 0.5270 0.1093
0.9454 0.0270 0.8907
0.8832 0.6901 0.7665
0.3767 0.9572 0.7534
0.7835 0.8406 0.5670
0.2165 0.3406 0.4330
0.6233 0.4572 0.2466
0.0456 0.9025 0.0912
0.9544 0.4025 0.9088
0.8210 0.2819 0.6421
0.5245 0.1970 0.0490
0.4755 0.6970 0.9510
0.1790 0.7819 0.3579
```

Properties
The density of states at the Fermi level is 9.268 states/eV per cell. Its symmetry is No. 36.

two) DFT (PBE) results for a relaxed structure of Tb2Zn3Au5.

```
Tb2Zn3Au5
1.0
-1.1418 3.9635 3.9050
3.9954 -2.3363 7.6704
7.3117 5.0483 1.1448
Zn Tb Au
6 4 10
direct
0.8472 0.7385 0.5671
0.2500 0.0000 0.0000
0.6528 0.4329 0.2615
0.3472 0.5671 0.7385
0.7500 0.0000 0.0000
0.1528 0.2615 0.4329
0.1469 0.5727 0.1335
0.8531 0.4273 0.8665
0.3531 0.8665 0.4273
0.6469 0.1335 0.5727
0.4501 0.7999 0.7999
0.7500 0.5000 0.5000
0.0745 0.1189 0.7321
0.5745 0.7321 0.1189
0.0499 0.2001 0.2001
0.2500 0.5000 0.5000
0.9255 0.8811 0.2679
0.9501 0.7999 0.7999
0.5499 0.2001 0.2001
0.4255 0.2679 0.8811
```

Properties
The density of states at the Fermi level is 9.143 states/eV per cell. Its symmetry is No. 72.

Relative stability in meV/atom, measured from the most stable structure: one) 0; two) 41

one) DFT (PBE) results for a relaxed structure of TbZn4Au8.

```
TbZn4Au8
1.0
7.4082 0.2536 0.1810
3.7932 6.3685 0.1810
3.7932 2.2425 5.9633
Au Zn Tb
8 4 1
direct
0.7402 0.7402 0.1503
0.2514 0.2514 0.2514
0.1503 0.7402 0.7402
0.7402 0.1503 0.7402
0.7486 0.7486 0.7486
0.2598 0.8497 0.2598
0.8497 0.2598 0.2598
0.2598 0.2598 0.8497
0.0000 0.5000 0.5000
0.5000 0.5000 0.5000
0.5000 0.5000 0.0000
0.5000 0.0000 0.5000
0.0000 0.0000 0.0000
```

Properties
The density of states at the Fermi level is 2.554 states/eV per cell. Its symmetry is No. 166.

two) DFT (PBE) results for a relaxed structure of TbZn4Au8.

```
TbZn4Au8
1.0
-5.1927 0.1942 -1.5597
-0.7551 -0.7766 -7.0185
-3.0708 -6.4034 -0.0095
Au Zn Tb
8 4 1
direct
0.6683 0.3317 0.3317
0.0000 0.3317 0.6683
0.0000 0.6683 0.3317
0.3317 0.6683 0.6683
0.5000 0.2170 0.7830
0.7170 0.7830 0.7830
0.5000 0.7830 0.2170
0.2830 0.2170 0.2170
0.0000 0.0000 0.5000
0.5000 0.5000 0.0000
0.0000 0.5000 0.0000
0.5000 0.0000 0.5000
0.0000 0.0000 0.0000
```

Properties
The density of states at the Fermi level is 3.692 states/eV per cell. Its symmetry is No. 139.

Relative stability in meV/atom, measured from the most stable structure: one) 275; two) 0

one) DFT (PBE) results for a relaxed structure of Tb2Zn3Au.

```
Tb2Zn3Au
1.0
-2.4203 -2.5185 4.5172
-2.7265 -2.2203 -4.4991
7.9043 -3.4219 -0.3816
Au Tb Zn
2 4 6
direct
0.6676 0.6676 0.3351
0.3324 0.3324 0.6649
0.2500 0.7500 0.5000
0.7440 0.7440 0.0000
0.2560 0.2560 0.0000
0.7500 0.2500 0.5000
0.8370 0.8370 0.6740
0.6733 0.1636 0.8369
0.1630 0.1630 0.3260
0.8364 0.3267 0.1631
0.1636 0.6733 0.8369
0.3267 0.8364 0.1631
```

Properties
The density of states at the Fermi level is 8.750 states/eV per cell. Its symmetry is No. 69.

two) DFT (PBE) results for a relaxed structure of Tb2Zn3Au.

```
Tb2Zn3Au
1.0
-1.3041 0.7753 -3.9925
2.8592 -2.0904 -1.3399
-5.4446 -5.8884 2.9195
Zn Au Tb
3 1 2
direct
0.5548 0.5548 0.1096
0.2859 0.7859 0.5718
0.7101 0.7101 0.4202
0.4484 0.9484 0.8968
0.8749 0.3749 0.7498
0.1259 0.1259 0.2518
```

Properties
The density of states at the Fermi level is 4.809 states/eV per cell. Its symmetry is No. 44.

Relative stability in meV/atom, measured from the most stable structure: one) 0; two) 82

one) DFT (PBE) results for a relaxed structure of Tb2Zn5Au3.

```
Tb2Zn5Au3
1.0
-2.2059 3.0141 2.4993
-4.4748 0.9620 -5.1097
-6.0641 -10.5458 3.3252
Zn Au Tb
10 6 4
direct
0.1244 0.2668 0.2489
0.0522 0.5667 0.1043
0.7042 0.3952 0.4083
0.6081 0.9404 0.2163
0.3919 0.4404 0.7837
0.7082 0.0105 0.4163
0.2958 0.8952 0.5917
0.8756 0.7668 0.7511
0.9478 0.0667 0.8957
0.2918 0.5105 0.5837
0.7699 0.6991 0.5399
0.9474 0.4724 0.8947
0.3930 0.0336 0.7860
0.2301 0.1991 0.4601
0.6070 0.5336 0.2140
0.0526 0.9724 0.1053
0.1754 0.7211 0.3507
0.4852 0.7591 0.9703
0.8246 0.2211 0.6493
0.5148 0.2591 0.0297
```

Properties
The density of states at the Fermi level is 11.223 states/eV per cell. Its symmetry is No. 36.

two) DFT (PBE) results for a relaxed structure of Tb2Zn5Au3.

```
Tb2Zn5Au3
1.0
5.7489 0.0000 0.0000
2.8745 8.1817 -0.8437
2.8745 0.4284 8.2139
Au Zn Tb
6 10 4
direct
0.1199 0.2279 0.5323
0.2500 0.0000 0.0000
0.8801 0.7721 0.4677
0.6199 0.5323 0.2279
0.7500 0.0000 0.0000
0.3801 0.4677 0.7721
0.1342 0.9994 0.7322
0.3658 0.2678 0.0006
0.9928 0.2572 0.2572
0.2500 0.5000 0.5000
0.8658 0.0006 0.2678
0.4928 0.2572 0.2572
0.6342 0.7322 0.9994
0.5072 0.7428 0.7428
0.0072 0.7428 0.7428
0.7500 0.5000 0.5000
0.6247 0.1165 0.6341
0.1247 0.6341 0.1165
0.3753 0.8835 0.3659
0.8753 0.3659 0.8835
```

Properties
The density of states at the Fermi level is 7.703 states/eV per cell. Its symmetry is No. 72.

Relative stability in meV/atom, measured from the most stable structure: one) 0; two) 19

one) DFT (PBE) results for a relaxed structure of TbZn3Au3.

```
TbZn3Au3
1.0
-2.6450 -2.4853 -6.0381
-6.1459 -3.4438 -0.0002
-5.9501 3.4128 -2.9081
Zn Au Tb
6 6 2
direct
0.2725 0.8957 0.3769
0.4549 0.2725 0.3769
0.8957 0.4549 0.3769
0.1043 0.5451 0.6231
0.7275 0.1043 0.6231
0.5451 0.7275 0.6231
0.0719 0.8241 0.7964
0.6924 0.9281 0.2036
0.9281 0.1759 0.2036
0.8241 0.3076 0.7964
0.1759 0.6924 0.2036
0.3076 0.0719 0.7964
0.3386 0.3386 0.9843
0.6614 0.6614 0.0157
```

Properties
The density of states at the Fermi level is 6.440 states/eV per cell. Its symmetry is No. 148.

two) DFT (PBE) results for a relaxed structure of TbZn3Au3.

```
TbZn3Au3
1.0
7.4588 0.0000 4.3063
2.4863 7.0322 4.3063
0.0000 0.0000 8.6126
Au Zn Tb
6 6 2
direct
0.6610 0.6610 0.3390
0.3390 0.6610 0.3390
0.6610 0.3390 0.6610
0.6610 0.3390 0.3390
0.3390 0.6610 0.6610
0.3390 0.3390 0.6610
0.8536 0.8536 0.1464
0.1464 0.8536 0.1464
0.8536 0.1464 0.1464
0.1464 0.1464 0.8536
0.8536 0.1464 0.8536
0.1464 0.8536 0.8536
0.2500 0.2500 0.2500
0.7500 0.7500 0.7500
```

Properties
The density of states at the Fermi level is 13.185 states/eV per cell. Its symmetry is No. 225.

three) DFT (PBE) results for a relaxed structure of TbZn3Au3.

```
TbZn3Au3
1.0
-5.9087 -2.9255 2.2732
2.8398 -0.8282 6.3157
-2.3793 6.2765 1.8929
Au Zn Tb
6 6 2
direct
0.0000 0.5000 0.2500
0.2500 0.0000 0.5000
0.5000 0.2500 0.0000
0.0000 0.5000 0.7500
0.7500 0.0000 0.5000
0.5000 0.7500 0.0000
0.0000 0.7500 0.5000
0.5000 0.0000 0.7500
0.0000 0.2500 0.5000
0.5000 0.0000 0.2500
0.2500 0.5000 0.0000
0.7500 0.5000 0.0000
0.5000 0.5000 0.5000
0.0000 0.0000 0.0000
```

Properties
The density of states at the Fermi level is 9.116 states/eV per cell. Its symmetry is No. 223.

Relative stability in meV/atom, measured from the most stable structure: one) 0; two) 1033; three) 459

one) DFT (PBE) results for a relaxed structure of TbZnAu4.

```
TbZnAu4
1.0
5.5492 0.0000 0.0000
2.7746 4.8058 0.0000
2.7746 1.6019 4.5309
Au Zn Tb
4 1 1
direct
0.6253 0.6253 0.6253
0.6253 0.1240 0.6253
0.1240 0.6253 0.6253
0.6253 0.6253 0.1240
0.0000 0.0000 0.0000
0.2500 0.2500 0.2500
```

Properties
The density of states at the Fermi level is 5.160 states/eV per cell. Its symmetry is No. 216.

two) DFT (PBE) results for a relaxed structure of TbZnAu4.

```
TbZnAu4
1.0
5.9900 0.4794 2.2597
1.5480 6.9450 2.0736
0.4637 0.4794 6.3853
Au Tb Zn
8 2 2
direct
0.3849 0.5315 0.8483
0.1517 0.4685 0.6151
0.8483 0.5315 0.3849
0.3012 0.0000 0.6988
0.1707 0.7786 0.1707
0.6151 0.4685 0.1517
0.8293 0.2214 0.8293
0.6988 0.0000 0.3012
0.1323 0.2033 0.1323
0.8677 0.7967 0.8677
0.4100 0.7697 0.4100
0.5900 0.2303 0.5900
```

Properties
The density of states at the Fermi level is 4.881 states/eV per cell. Its symmetry is No. 12.

Relative stability in meV/atom, measured from the most stable structure: one) 53; two) 0

one) DFT (PBE) results for a relaxed structure of TbZn3Au.

```
TbZn3Au
1.0
4.6281 0.2108 1.8266
0.2522 4.6260 1.8266
0.4765 0.4722 4.6760
Zn Tb Au
3 1 1
direct
0.8957 0.8957 0.0113
0.3011 0.9073 0.2946
0.9073 0.3011 0.2946
0.5989 0.5989 0.8007
0.2983 0.2983 0.5964
```

Properties
The density of states at the Fermi level is 2.260 states/eV per cell. Its symmetry is No. 8.

two) DFT (PBE) results for a relaxed structure of TbZn3Au.

```
TbZn3Au
1.0
6.1737 0.0000 0.0189
0.0000 5.3647 0.0000
0.0934 0.0000 5.6057
Au Tb Zn
2 2 6
direct
0.5424 0.2500 0.1518
0.4576 0.7500 0.8482
0.3340 0.2500 0.6552
0.6660 0.7500 0.3448
0.1611 0.9950 0.1515
0.8389 0.4950 0.8485
0.1132 0.7500 0.5634
0.8868 0.2500 0.4366
0.1611 0.5050 0.1515
0.8389 0.0050 0.8485
```

Properties
The density of states at the Fermi level is 3.820 states/eV per cell. Its symmetry is No. 11.

Relative stability in meV/atom, measured from the most stable structure: one) 23; two) 0